Here is Sr2CaHg9 after structural relaxation from Alexandria. Energies are from PBE.

Lattice parameters (Å, degrees): 4.805 4.805 14.401 90.00 90.00 90.00
Space group P4/mmm (No. 123)
Inequivalent atoms, fractional coordinates:
Sr 0.000 0.000 0.171 x2
Ca 0.000 0.000 0.500 x1
Hg 0.000 0.500 0.000 x2
Hg 0.000 0.500 0.341 x4
Hg 0.500 0.500 0.173 x2
Hg 0.500 0.500 0.500 x1

Calculated values
E_form   -391 meV per atom